(1)
A relaxed Hf2TiCr crystal, computed with PBE.

## Properties
Mass density, Mg/m³: 10.35
Formation enthalpy at 0 K, eV per atom: 0.123
Relative energy among the computed polymorphs, meV per atom: 0

a = 3.2218 Å, b = 3.2218 Å, c = 7.0577 Å
α = 90.00°, β = 90.00°, γ = 90.00°
With the nearest neighbours (Å) after each atom.
Space group P4/mmm (No. 123)
Symmetry-distinct sites (fractional):
Hf: 0.0000 0.0000 0.2241  4 Cr 2.77, 4 Ti 3.00
Ti: 0.5000 0.5000 0.5000  8 Hf 3.00, 4 Ti 3.22
Cr: 0.5000 0.5000 0.0000  8 Hf 2.77

=====

(2)
A relaxed Hf2TiCr crystal, computed with PBE.

## Properties
Mass density, Mg/m³: 10.08
Formation enthalpy at 0 K, eV per atom: 0.622
Relative energy among the computed polymorphs, meV per atom: 499

a = 7.2372 Å, b = 7.2372 Å, c = 5.7480 Å
α = 90.00°, β = 90.00°, γ = 90.00°
With the nearest neighbours (Å) after each atom.
Space group I-42d (No. 122)
Symmetry-distinct sites (fractional):
Hf: 0.2236 0.2500 0.1250  2 Cr 2.53, 2 Ti 2.79
Ti: 0.0000 0.0000 0.5000  4 Hf 2.79, 2 Cr 2.87
Cr: 0.0000 0.0000 0.0000  4 Hf 2.53

=====

(3)
A relaxed HfTi2Cr2 crystal, computed with PBE.

## Properties
Mass density, Mg/m³: 7.64
Formation enthalpy at 0 K, eV per atom: 0.193

a = 7.1904 Å, b = 7.1904 Å, c = 3.1786 Å
α = 90.00°, β = 90.00°, γ = 90.00°
With the nearest neighbours (Å) after each atom.
Space group P4/mbm (No. 127)
Symmetry-distinct sites (fractional):
Hf: 0.0000 0.0000 0.0000  4 Cr 2.79
Ti: 0.1542 0.3458 0.5000  6 Cr 2.63-2.65
Cr: 0.1375 0.6375 0.0000  6 Ti 2.63-2.65, 2 Hf 2.79, 1 Cr 2.80

=====

(4)
A relaxed Hf2TiCr crystal, computed with PBE.

## Properties
Mass density, Mg/m³: 10.19
Formation enthalpy at 0 K, eV per atom: 0.325
Relative energy among the computed polymorphs, meV per atom: 202

a = 3.1244 Å, b = 3.1244 Å, c = 26.4142 Å
α = 90.00°, β = 90.00°, γ = 120.00°
With the nearest neighbours (Å) after each atom.
Space group R-3m (No. 166, hexagonal axes)
Symmetry-distinct sites (fractional):
Hf: 0.0000 0.0000 0.2408  3 Cr 2.66
Ti: 0.0000 0.0000 0.0000  6 Hf 3.04, 6 Ti 3.12
Cr: 0.0000 0.0000 0.5000  6 Hf 2.66

=====

The lowest mass density belongs to which entry? HfTi2Cr2